Here is EuCdS2 after structural relaxation from Alexandria via LeMat-Bulk. Energies are from PBE.

Cell and atoms, written as CIF:
```
data_EuCdS2
_chemical_formula_sum 'Eu1 Cd1 S2'
_symmetry_space_group_name_H-M 'P 1'
_symmetry_Int_Tables_number 1
_cell_length_a 4.445
_cell_length_b 4.445
_cell_length_c 7.991
_cell_angle_alpha 73.85
_cell_angle_beta 73.85
_cell_angle_gamma 60.00
loop_
_symmetry_equiv_pos_as_xyz
'x,y,z'
loop_
_atom_site_label
_atom_site_type_symbol
_atom_site_fract_x
_atom_site_fract_y
_atom_site_fract_z
Eu1 Eu 0.500 0.500 0.500
S1 S 0.104 0.104 0.689
S2 S 0.896 0.896 0.311
Cd1 Cd 0.000 0.000 0.000
```

Summary:
**Formation energy without anion corrections**: -1.160 eV/atom
**Total DFT energy (no corrections)**: -0.4425 Ry/atom
**Space group**: R-3m



Here is KCe2CuSe5 after structural relaxation from Alexandria via LeMat-Bulk. Energies are from PBE.

Cell and atoms, written as CIF:
```
data_KCe2CuSe5
_chemical_formula_sum 'K2 Ce4 Cu2 Se10'
_symmetry_space_group_name_H-M 'P 1'
_symmetry_Int_Tables_number 1
_cell_length_a 8.076
_cell_length_b 8.076
_cell_length_c 9.148
_cell_angle_alpha 116.20
_cell_angle_beta 116.20
_cell_angle_gamma 90.00
loop_
_symmetry_equiv_pos_as_xyz
'x,y,z'
loop_
_atom_site_label
_atom_site_type_symbol
_atom_site_fract_x
_atom_site_fract_y
_atom_site_fract_z
Se1 Se 0.273 0.773 0.256
Se2 Se 0.227 0.018 0.744
Se3 Se 0.982 0.482 0.256
Se4 Se 0.773 0.982 0.256
Se5 Se 0.727 0.227 0.744
Se6 Se 0.518 0.727 0.744
Se7 Se 0.500 0.500 0.000
Se8 Se 0.000 0.000 0.000
Se9 Se 0.482 0.273 0.256
Se10 Se 0.018 0.518 0.744
Ce1 Ce 0.338 0.838 0.000
Ce2 Ce 0.662 0.162 0.000
Ce3 Ce 0.838 0.662 0.000
Ce4 Ce 0.162 0.338 0.000
K1 K 0.750 0.750 0.500
K2 K 0.250 0.250 0.500
Cu1 Cu 0.750 0.250 0.500
Cu2 Cu 0.250 0.750 0.500
```

Summary:
**Formation energy without anion corrections**: -1.336 eV/atom
**Total DFT energy (no corrections)**: -0.3798 Ry/atom
**Space group**: I4/mcm



Here is ReTe2PRu after structural relaxation from Alexandria via LeMat-Bulk. Energies are from PBE.

Cell and atoms, written as CIF:
```
data_ReTe2PRu
_chemical_formula_sum 'Re1 Te2 P1 Ru1'
_symmetry_space_group_name_H-M 'P 1'
_symmetry_Int_Tables_number 1
_cell_length_a 5.326
_cell_length_b 4.274
_cell_length_c 5.326
_cell_angle_alpha 90.00
_cell_angle_beta 90.00
_cell_angle_gamma 90.00
loop_
_symmetry_equiv_pos_as_xyz
'x,y,z'
loop_
_atom_site_label
_atom_site_type_symbol
_atom_site_fract_x
_atom_site_fract_y
_atom_site_fract_z
Re1 Re 0.500 0.500 0.500
Ru1 Ru 0.000 0.000 0.000
Te1 Te 0.500 0.000 0.000
Te2 Te 0.000 0.000 0.500
P1 P 0.000 0.500 0.000
```

Summary:
**Formation energy without anion corrections**: 1.227 eV/atom
**Total DFT energy (no corrections)**: -0.4011 Ry/atom
**Space group**: P4/mmm



Here is ZrScAlTl after structural relaxation from Alexandria via LeMat-Bulk. Energies are from PBE.

Cell and atoms, written as CIF:
```
data_ZrScAlTl
_chemical_formula_sum 'Zr1 Sc1 Al1 Tl1'
_symmetry_space_group_name_H-M 'P 1'
_symmetry_Int_Tables_number 1
_cell_length_a 3.112
_cell_length_b 3.112
_cell_length_c 8.780
_cell_angle_alpha 90.00
_cell_angle_beta 90.00
_cell_angle_gamma 90.00
loop_
_symmetry_equiv_pos_as_xyz
'x,y,z'
loop_
_atom_site_label
_atom_site_type_symbol
_atom_site_fract_x
_atom_site_fract_y
_atom_site_fract_z
Al1 Al 0.000 0.000 0.571
Tl1 Tl 0.000 0.000 0.072
Zr1 Zr 0.500 0.500 0.798
Sc1 Sc 0.500 0.500 0.343
```

Summary:
**Total DFT energy (no corrections)**: -0.4079 Ry/atom
**Space group**: P4mm
**Calculated formation energy**: -117 kJ/mol of formula units



Number 1: DOS at the Fermi energy 12.06 states/eV/cell, calculated density 4.21 g cm⁻³. Number 2: DOS at the Fermi energy 7.48 states/eV/cell, calculated density 5.54 g cm⁻³. Number 3: DOS at the Fermi energy 3.74 states/eV/cell, calculated density 7.85 g cm⁻³. Number 4: DOS at the Fermi energy 3.09 states/eV/cell, calculated density 7.18 g cm⁻³.